Material: Cs16Rb4Na3
Method: DFT, PBE
State: relaxed

Properties
Density of states at the Fermi level ... 23.87 states/eV/cell
SG ... P4/mmm (123)
Formation energy ... 71 kJ/mol of formula units
M_tot ... 0.00 μB per formula unit

Unit cell a=10.797 b=10.797 c=20.521 alpha=90.00 beta=90.00 gamma=90.00
Fractional coordinates of all 23 atoms:
Rb: 0.500 0.000 0.810
Cs: 0.500 0.500 0.807
Na: 0.000 0.500 0.500
Na: 0.000 0.000 0.000
Cs: 0.749 0.749 0.378
Cs: 0.749 0.749 0.622
Cs: 0.251 0.251 0.622
Rb: 0.000 0.500 0.190
Cs: 0.251 0.251 0.378
Cs: 0.000 0.000 0.801
Cs: 0.735 0.265 0.000
Rb: 0.500 0.000 0.190
Na: 0.500 0.000 0.500
Cs: 0.735 0.735 0.000
Cs: 0.000 0.000 0.199
Cs: 0.265 0.265 0.000
Cs: 0.749 0.251 0.378
Cs: 0.749 0.251 0.622
Cs: 0.251 0.749 0.378
Cs: 0.265 0.735 0.000
Cs: 0.500 0.500 0.193
Cs: 0.251 0.749 0.622
Rb: 0.000 0.500 0.810

***

Material: ZnAgClF2
Method: DFT, PBE
State: relaxed

Properties
Density of states at the Fermi level ... 0.00 states/eV/cell
SG ... P2_1/m (11)
M_tot ... 0.00 μB per formula unit
E_form (uncorrected) ... -1.467 eV per atom

Unit cell a=4.005 b=6.535 c=7.143 alpha=88.10 beta=90.00 gamma=90.00
Fractional coordinates of all 10 atoms:
F: 0.250 0.162 0.628
Ag: 0.750 0.377 0.616
Zn: 0.250 0.953 0.822
Cl: 0.750 0.388 0.229
Ag: 0.250 0.623 0.384
F: 0.250 0.984 0.113
F: 0.750 0.838 0.372
Cl: 0.250 0.612 0.771
Zn: 0.750 0.047 0.178
F: 0.750 0.016 0.887

***

Material: La2ErTl2Ag2
Method: DFT, PBE
State: relaxed

Properties
Density of states at the Fermi level ... 6.01 states/eV/cell
SG ... R-3m (166)
Formation energy ... -143 kJ/mol of formula units
M_tot ... 0.14 μB per formula unit

Unit cell a=4.913 b=4.913 c=9.724 alpha=75.37 beta=75.37 gamma=60.00
Fractional coordinates of all 7 atoms:
La: 0.125 0.125 0.625
Ag: 0.386 0.386 0.842
Ag: 0.614 0.614 0.158
Tl: 0.265 0.265 0.204
La: 0.875 0.875 0.375
Tl: 0.735 0.735 0.796
Er: 0.000 0.000 0.000

***

Material: LiPm2MgTe4
Method: DFT, PBE
State: relaxed

Properties
Density of states at the Fermi level ... 3.03 states/eV/cell
SG ... P2/m (10)
M_tot ... 0.00 μB per formula unit
E_form (uncorrected) ... -1.190 eV per atom

Unit cell a=4.334 b=7.647 c=7.493 alpha=71.24 beta=90.00 gamma=90.00
Fractional coordinates of all 8 atoms:
Pm: 0.000 0.000 0.000
Li: 0.500 0.500 0.000
Te: 0.500 0.729 0.257
Mg: 0.000 0.500 0.500
Te: 0.000 0.268 0.247
Te: 0.000 0.732 0.753
Pm: 0.500 0.000 0.500
Te: 0.500 0.271 0.743

***

Material: K3RbLi
Method: DFT, PBE
State: relaxed

Properties
Density of states at the Fermi level ... 3.40 states/eV/cell
SG ... Pm-3m (221)
Formation energy ... 58 kJ/mol of formula units
M_tot ... 0.00 μB per formula unit
ΔE to the lowest computed polymorph ... 0.0000 eV/atom

Unit cell a=7.102 b=7.102 c=7.102 alpha=90.00 beta=90.00 gamma=90.00
Fractional coordinates of all 5 atoms:
K: 0.000 0.000 0.500
K: 0.500 0.000 0.000
Rb: 0.500 0.500 0.500
Li: 0.000 0.000 0.000
K: 0.000 0.500 0.000

***

Material: Zn5Ir3
Method: DFT, PBE
State: relaxed

Properties
Density of states at the Fermi level ... 3.17 states/eV/cell
SG ... Fmmm (69)
Formation energy ... -120 kJ/mol of formula units
M_tot ... 0.00 μB per formula unit
ΔE to the lowest computed polymorph ... 0.0262 eV/atom

Unit cell a=4.356 b=4.356 c=6.714 alpha=109.54 beta=109.54 gamma=88.23
Fractional coordinates of all 8 atoms:
Zn: 0.373 0.873 0.746
Ir: 0.500 0.500 0.000
Zn: 0.873 0.373 0.746
Ir: 0.249 0.249 0.498
Ir: 0.751 0.751 0.502
Zn: 0.627 0.127 0.254
Zn: 0.000 0.000 0.000
Zn: 0.127 0.627 0.254

***

Material: Mn3AlMo
Method: DFT, PBE
State: relaxed

Properties
Density of states at the Fermi level ... 7.00 states/eV/cell
SG ... Pm-3m (221)
Formation energy ... 675 kJ/mol of formula units
M_tot ... 0.01 μB per formula unit
ΔE to the lowest computed polymorph ... 0.1231 eV/atom

Unit cell a=4.143 b=4.143 c=4.143 alpha=90.00 beta=90.00 gamma=90.00
Fractional coordinates of all 5 atoms:
Mo: 0.500 0.500 0.500
Mn: 0.000 0.500 0.000
Mn: 0.000 0.000 0.500
Mn: 0.500 0.000 0.000
Al: 0.000 0.000 0.000

***

Material: Cs3Br2F
Method: DFT, PBE
State: relaxed

Properties
Density of states at the Fermi level ... 0.00 states/eV/cell
SG ... Cmcm (63)
M_tot ... 0.00 μB per formula unit
E_form (uncorrected) ... -2.045 eV per atom
ΔE to the lowest computed polymorph ... 0.0000 eV/atom

Unit cell a=4.681 b=8.402 c=13.043 alpha=90.00 beta=100.34 gamma=90.00
Fractional coordinates of all 12 atoms:
Cs: 0.415 0.491 0.829
Cs: 0.585 0.509 0.171
Cs: 0.585 0.991 0.171
Br: 0.993 0.750 0.986
Cs: 0.219 0.250 0.437
Cs: 0.415 0.009 0.829
F: 0.655 0.250 0.310
F: 0.345 0.750 0.690
Br: 0.830 0.250 0.661
Cs: 0.781 0.750 0.563
Br: 0.170 0.750 0.339
Br: 0.007 0.250 0.014